# 1
# Pm4Sn2I3

A geometry-optimized Pm4Sn2I3 structure (PBE, the Alexandria database).

Cell lengths 11.2877, 4.5950, 11.3044 Å; angles 90.00, 90.76, 90.00 degrees
Space group C2/m (No. 12)
Asymmetric unit:
Pm1 0.0816 0.0000 0.1534
Pm2 0.1422 0.5000 0.6213
Sn1 0.1718 0.5000 0.3174
I1 0.0000 0.0000 0.5000
I2 0.1369 0.5000 0.9205

DOS(E_F)	0.58	states/eV/atom
energy relative to the lowest polymorph listed for this composition	286	meV/atom
crystal system	monoclinic



# 2
# Ba2Li3ScH12

A geometry-optimized Ba2Li3ScH12 structure (PBE, the Alexandria database).

Cell lengths 6.2540, 6.2540, 18.1089 Å; angles 90.00, 90.00, 120.00 degrees
Space group R-3m (No. 166, hexagonal axes)
Asymmetric unit:
Ba1 0.0000 0.0000 0.1070
Li1 0.0000 0.5000 0.0000
Sc1 0.0000 0.0000 0.5000
H1 0.0112 0.5056 0.1129
H2 0.0232 0.5116 0.6674

DOS(E_F)	0.05	states/eV/atom
crystal system	trigonal



# 3
# Pu3SnIr

A geometry-optimized Pu3SnIr structure (PBE, the Alexandria database).

Cell lengths 10.7767, 4.4360, 10.1812 Å; angles 90.00, 115.84, 90.00 degrees
Space group C2/m (No. 12)
Asymmetric unit:
Pu1 0.0320 0.0000 0.2043
Pu2 0.0941 0.5000 0.1202
Pu3 0.1743 0.0000 0.5966
Sn1 0.2004 0.5000 0.8604
Ir1 0.0523 0.5000 0.4010

DOS(E_F)	2.82	states/eV/atom
E_form	-0.279	eV per atom
crystal system	monoclinic



| no. | total magnetization (Bohr magnetons per cell) | energy (eV/atom) | ρ (g/cm3) |
| --- | --- | --- | --- |
| 1 | 0.0 | -4.2508 | 6.79 |
| 2 | 0.0 | -3.3189 | 2.86 |
| 3 | 15.4 | -11.4513 | 15.81 |